No. 1
An optimized crystal structure of LiNdHfAl. Source: Alexandria via LeMat-Bulk, functional PBE.

Lattice parameters (Å, degrees): 4.999 4.999 4.999 60.00 60.00 60.00
Positions (direct):
Li (0.000, 0.000, 0.000)
Nd (0.750, 0.750, 0.750)
Hf (0.250, 0.250, 0.250)
Al (0.500, 0.500, 0.500)

Calculated values
**Energy of formation from the pure elements**: -2.7 kJ/mol of atoms
**Uncorrected energy**: -5.122 eV/atom
**DOS(E_F)**: 3.1 states/eV/cell

No. 2
An optimized crystal structure of LiHf2AlO. Source: Alexandria via LeMat-Bulk, functional PBE.

Lattice parameters (Å, degrees): 4.387 4.387 3.992 90.00 90.00 90.00
Positions (direct):
Li (0.000, 0.000, 0.000)
Hf (0.000, 0.500, 0.500)
Hf (0.500, 0.000, 0.500)
Al (0.500, 0.500, 0.000)
O (0.000, 0.000, 0.500)

Calculated values
**Raw formation energy**: -1145 meV/atom
**Uncorrected energy**: -7.250 eV/atom
**DOS(E_F)**: 2.5 states/eV/cell

No. 3
An optimized crystal structure of LiHf2AlO6. Source: Alexandria via LeMat-Bulk, functional PBE.

Lattice parameters (Å, degrees): 4.870 4.870 4.816 90.00 90.00 90.00
Positions (direct):
Li (0.000, 0.000, 0.000)
Hf (0.000, 0.500, 0.410)
Hf (0.500, 0.000, 0.410)
Al (0.500, 0.500, 0.026)
O (0.000, 0.000, 0.604)
O (0.256, 0.256, 0.177)
O (0.256, 0.744, 0.177)
O (0.500, 0.500, 0.654)
O (0.744, 0.256, 0.177)
O (0.744, 0.744, 0.177)

Calculated values
**Raw formation energy**: -2762 meV/atom
**Uncorrected energy**: -8.293 eV/atom
**DOS(E_F)**: 0.0 states/eV/cell

No. 4
An optimized crystal structure of LiHfAlOs. Source: Alexandria via LeMat-Bulk, functional PBE.

Lattice parameters (Å, degrees): 4.454 4.454 4.454 60.00 60.00 60.00
Positions (direct):
Li (0.000, 0.000, 0.000)
Hf (0.250, 0.250, 0.250)
Al (0.750, 0.750, 0.750)
Os (0.500, 0.500, 0.500)

Calculated values
**Energy of formation from the pure elements**: -39.6 kJ/mol of atoms
**Uncorrected energy**: -7.121 eV/atom
**DOS(E_F)**: 3.2 states/eV/cell

No. 5
An optimized crystal structure of LiHfAl2Pb. Source: Alexandria via LeMat-Bulk, functional PBE.

Lattice parameters (Å, degrees): 5.207 5.207 4.659 90.00 90.00 90.00
Positions (direct):
Li (0.000, 0.000, 0.000)
Hf (0.500, 0.500, 0.000)
Al (0.000, 0.500, 0.500)
Al (0.500, 0.000, 0.500)
Pb (0.000, 0.000, 0.500)

Calculated values
**Energy of formation from the pure elements**: 94.5 kJ/mol of atoms
**Uncorrected energy**: -3.633 eV/atom
**DOS(E_F)**: 3.8 states/eV/cell

No. 6
An optimized crystal structure of LiPmHfAl. Source: Alexandria via LeMat-Bulk, functional PBE.

Lattice parameters (Å, degrees): 4.981 4.981 4.981 60.00 60.00 60.00
Positions (direct):
Li (0.000, 0.000, 0.000)
Pm (0.750, 0.750, 0.750)
Hf (0.250, 0.250, 0.250)
Al (0.500, 0.500, 0.500)

Calculated values
**Energy of formation from the pure elements**: -3.9 kJ/mol of atoms
**Uncorrected energy**: -5.131 eV/atom
**DOS(E_F)**: 3.1 states/eV/cell

No. 7
An optimized crystal structure of LiPrHfAl. Source: Alexandria via LeMat-Bulk, functional PBE.

Lattice parameters (Å, degrees): 5.018 5.018 5.018 60.00 60.00 60.00
Positions (direct):
Li (0.000, 0.000, 0.000)
Pr (0.750, 0.750, 0.750)
Hf (0.250, 0.250, 0.250)
Al (0.500, 0.500, 0.500)

Calculated values
**Energy of formation from the pure elements**: -1.5 kJ/mol of atoms
**Uncorrected energy**: -5.112 eV/atom
**DOS(E_F)**: 3.2 states/eV/cell

No. 8
An optimized crystal structure of LiHfAlPt. Source: Alexandria via LeMat-Bulk, functional PBE.

Lattice parameters (Å, degrees): 4.468 4.468 4.468 60.00 60.00 60.00
Positions (direct):
Li (0.000, 0.000, 0.000)
Hf (0.750, 0.750, 0.750)
Al (0.250, 0.250, 0.250)
Pt (0.500, 0.500, 0.500)

Calculated values
**Energy of formation from the pure elements**: -85.3 kJ/mol of atoms
**Uncorrected energy**: -6.297 eV/atom

No. 9
An optimized crystal structure of LiHf2AlPt. Source: Alexandria via LeMat-Bulk, functional PBE.

Lattice parameters (Å, degrees): 5.017 5.017 4.519 90.00 90.00 90.00
Positions (direct):
Li (0.000, 0.000, 0.000)
Hf (0.000, 0.500, 0.500)
Hf (0.500, 0.000, 0.500)
Al (0.500, 0.500, 0.500)
Pt (0.500, 0.500, 0.000)

Calculated values
**Energy of formation from the pure elements**: 51.8 kJ/mol of atoms
**Uncorrected energy**: -5.784 eV/atom
**DOS(E_F)**: 4.5 states/eV/cell

No. 10
An optimized crystal structure of LiHfAl2Pt4. Source: Alexandria via LeMat-Bulk, functional PBE.

Lattice parameters (Å, degrees): 8.025 8.025 8.025 31.17 31.17 31.17
Positions (direct):
Li (0.000, 0.000, 0.000)
Hf (0.500, 0.500, 0.500)
Al (0.256, 0.256, 0.256)
Al (0.744, 0.744, 0.744)
Pt (0.109, 0.109, 0.109)
Pt (0.373, 0.373, 0.373)
Pt (0.627, 0.627, 0.627)
Pt (0.891, 0.891, 0.891)

Calculated values
**Energy of formation from the pure elements**: -94.4 kJ/mol of atoms
**Uncorrected energy**: -6.418 eV/atom
**DOS(E_F)**: 2.8 states/eV/cell

No. 11
An optimized crystal structure of LiHfAlRh. Source: Alexandria via LeMat-Bulk, functional PBE.

Lattice parameters (Å, degrees): 4.443 4.443 4.443 60.00 60.00 60.00
Positions (direct):
Li (0.000, 0.000, 0.000)
Hf (0.750, 0.750, 0.750)
Al (0.250, 0.250, 0.250)
Rh (0.500, 0.500, 0.500)

Calculated values
**Energy of formation from the pure elements**: -62.4 kJ/mol of atoms
**Uncorrected energy**: -6.387 eV/atom
**DOS(E_F)**: 3.9 states/eV/cell

No. 12
An optimized crystal structure of LiHfAlRu. Source: Alexandria via LeMat-Bulk, functional PBE.

Lattice parameters (Å, degrees): 4.445 4.445 4.445 60.00 60.00 60.00
Positions (direct):
Li (0.000, 0.000, 0.000)
Hf (0.750, 0.750, 0.750)
Al (0.250, 0.250, 0.250)
Ru (0.500, 0.500, 0.500)

Calculated values
**Energy of formation from the pure elements**: -43.3 kJ/mol of atoms
**Uncorrected energy**: -6.670 eV/atom
**DOS(E_F)**: 3.8 states/eV/cell

No. 13
An optimized crystal structure of Li3Hf3AlS8. Source: Alexandria via LeMat-Bulk, functional PBE.

Lattice parameters (Å, degrees): 7.459 7.459 7.459 57.64 57.64 57.64
Positions (direct):
Li (0.000, 0.500, 0.500)
Li (0.500, 0.000, 0.500)
Li (0.500, 0.500, 0.000)
Hf (0.000, 0.000, 0.500)
Hf (0.000, 0.500, 0.000)
Hf (0.500, 0.000, 0.000)
Al (0.500, 0.500, 0.500)
S (0.249, 0.249, 0.249)
S (0.258, 0.737, 0.737)
S (0.263, 0.263, 0.742)
S (0.263, 0.742, 0.263)
S (0.737, 0.258, 0.737)
S (0.737, 0.737, 0.258)
S (0.742, 0.263, 0.263)
S (0.751, 0.751, 0.751)

Calculated values
**Raw formation energy**: -1437 meV/atom
**Uncorrected energy**: -6.261 eV/atom
**DOS(E_F)**: 4.5 states/eV/cell

No. 14
An optimized crystal structure of LiHfAlS4. Source: Alexandria via LeMat-Bulk, functional PBE.

Lattice parameters (Å, degrees): 7.329 7.329 7.329 121.26 118.96 89.82
Positions (direct):
Li (0.500, 0.000, 0.000)
Li (0.500, 0.500, 0.500)
Hf (0.000, 0.000, 0.000)
Hf (0.500, 0.000, 0.500)
Al (0.103, 0.353, 0.750)
Al (0.897, 0.647, 0.250)
S (0.249, 0.242, 0.007)
S (0.249, 0.248, 0.498)
S (0.249, 0.751, 0.002)
S (0.265, 0.758, 0.507)
S (0.735, 0.242, 0.493)
S (0.751, 0.249, 0.998)
S (0.751, 0.752, 0.502)
S (0.751, 0.758, 0.993)

Calculated values
**Raw formation energy**: -1289 meV/atom
**Uncorrected energy**: -5.878 eV/atom
**DOS(E_F)**: 0.8 states/eV/cell

No. 15
An optimized crystal structure of LiHfScAl. Source: Alexandria via LeMat-Bulk, functional PBE.

Lattice parameters (Å, degrees): 4.757 4.757 4.757 60.00 60.00 60.00
Positions (direct):
Li (0.000, 0.000, 0.000)
Hf (0.250, 0.250, 0.250)
Sc (0.750, 0.750, 0.750)
Al (0.500, 0.500, 0.500)

Calculated values
**Energy of formation from the pure elements**: -12.0 kJ/mol of atoms
**Uncorrected energy**: -5.610 eV/atom
**DOS(E_F)**: 2.2 states/eV/cell

No. 16
An optimized crystal structure of LiSmHfAl. Source: Alexandria via LeMat-Bulk, functional PBE.

Lattice parameters (Å, degrees): 4.968 4.968 4.968 60.00 60.00 60.00
Positions (direct):
Li (0.000, 0.000, 0.000)
Sm (0.250, 0.250, 0.250)
Hf (0.750, 0.750, 0.750)
Al (0.500, 0.500, 0.500)

Calculated values
**Energy of formation from the pure elements**: -4.5 kJ/mol of atoms
**Uncorrected energy**: -5.129 eV/atom
**DOS(E_F)**: 3.0 states/eV/cell

No. 17
An optimized crystal structure of LiHfAlTc. Source: Alexandria via LeMat-Bulk, functional PBE.

Lattice parameters (Å, degrees): 4.486 4.486 4.486 60.00 60.00 60.00
Positions (direct):
Li (0.000, 0.000, 0.000)
Hf (0.250, 0.250, 0.250)
Al (0.750, 0.750, 0.750)
Tc (0.500, 0.500, 0.500)

Calculated values
**Energy of formation from the pure elements**: -20.6 kJ/mol of atoms
**Uncorrected energy**: -6.707 eV/atom
**DOS(E_F)**: 4.4 states/eV/cell

No. 18
An optimized crystal structure of LiHfTiAl. Source: Alexandria via LeMat-Bulk, functional PBE.

Lattice parameters (Å, degrees): 4.604 4.604 4.604 60.00 60.00 60.00
Positions (direct):
Li (0.000, 0.000, 0.000)
Hf (0.250, 0.250, 0.250)
Ti (0.750, 0.750, 0.750)
Al (0.500, 0.500, 0.500)

Calculated values
**Energy of formation from the pure elements**: -4.2 kJ/mol of atoms
**Uncorrected energy**: -5.920 eV/atom
**DOS(E_F)**: 2.8 states/eV/cell

No. 19
An optimized crystal structure of LiYHfAl. Source: Alexandria via LeMat-Bulk, functional PBE.

Lattice parameters (Å, degrees): 4.920 4.920 4.920 60.00 60.00 60.00
Positions (direct):
Li (0.000, 0.000, 0.000)
Y (0.250, 0.250, 0.250)
Hf (0.750, 0.750, 0.750)
Al (0.500, 0.500, 0.500)

Calculated values
**Energy of formation from the pure elements**: -8.4 kJ/mol of atoms
**Uncorrected energy**: -5.606 eV/atom
**DOS(E_F)**: 2.4 states/eV/cell

No. 20
An optimized crystal structure of LuHfMnAl. Source: Alexandria via LeMat-Bulk, functional PBE.

Lattice parameters (Å, degrees): 4.703 4.703 4.703 60.00 60.00 60.00
Positions (direct):
Lu (0.000, 0.000, 0.000)
Hf (0.500, 0.500, 0.500)
Mn (0.250, 0.250, 0.250)
Al (0.750, 0.750, 0.750)

Calculated values
**Energy of formation from the pure elements**: -7.7 kJ/mol of atoms
**Uncorrected energy**: -6.926 eV/atom
**DOS(E_F)**: 2.9 states/eV/cell